1.
This record from Alexandria describes a relaxed La2YSc crystal. The functional is PBEsol.

a = 5.5830 Å, b = 5.5830 Å, c = 5.5830 Å
α = 60.00°, β = 60.00°, γ = 60.00°
Sites, in units of the cell vectors:
La  0.7500  0.7500  0.7500
Sc  0.0000  0.0000  0.0000
Y  0.5000  0.5000  0.5000
La  0.2500  0.2500  0.2500

Summary:
- ΔE_f (eV per formula unit) = 0.34
- ΔE to the lowest computed polymorph (eV per atom) = 0.056

2.
This record from Alexandria describes a relaxed BaZrSe2 crystal. The functional is PBEsol.

a = 3.8790 Å, b = 3.8790 Å, c = 7.5020 Å
α = 90.00°, β = 90.00°, γ = 90.00°
Each line ends with the local moment (μB).
Sites, in units of the cell vectors:
Se  0.0000  0.0000  0.9994  0.02
Se  0.5000  0.5000  0.3581  0.00
Ba  0.5000  0.5000  0.7971  0.08
Zr  0.0000  0.0000  0.3454  0.27

Summary:
- ΔE to the lowest computed polymorph (eV per atom) = 0.000
- uncorrected formation energy (eV per atom) = -1.184

3.
This record from Alexandria describes a relaxed Cs2RbScI6 crystal. The functional is PBEsol.

a = 8.7950 Å, b = 8.7950 Å, c = 8.7950 Å
α = 60.00°, β = 60.00°, γ = 60.00°
Sites, in units of the cell vectors:
Rb  0.5000  0.5000  0.5000
Cs  0.2500  0.2500  0.2500
I  0.2288  0.7712  0.2288
I  0.2288  0.2288  0.7712
Sc  0.0000  0.0000  0.0000
I  0.7712  0.2288  0.7712
I  0.7712  0.7712  0.2288
I  0.2288  0.7712  0.7712
I  0.7712  0.2288  0.2288
Cs  0.7500  0.7500  0.7500

Summary:
- uncorrected formation energy (eV per atom) = -1.382

4.
This record from Alexandria describes a relaxed MnTe2Pb crystal. The functional is PBEsol.

a = 3.7689 Å, b = 5.2744 Å, c = 5.2744 Å
α = 90.00°, β = 90.00°, γ = 90.00°
Each line ends with the local moment (μB).
Sites, in units of the cell vectors:
Mn  0.5000  0.5000  0.5000  4.28
Te  0.0000  0.0000  0.5000  0.00
Pb  0.5000  0.0000  0.0000  -0.01
Te  0.0000  0.5000  0.0000  0.00

Summary:
- uncorrected formation energy (eV per atom) = 0.258

5.
This record from Alexandria describes a relaxed LiSc2As crystal. The functional is PBEsol.

a = 3.7583 Å, b = 3.8800 Å, c = 5.4324 Å
α = 90.00°, β = 110.24°, γ = 90.00°
Sites, in units of the cell vectors:
Sc  0.3954  0.5000  0.7908
Li  0.6793  0.5000  0.3587
As  0.8234  0.0000  0.6468
Sc  0.1022  0.0000  0.2044

Summary:
- ΔE_f (eV per formula unit) = -2.65

6.
This record from Alexandria describes a relaxed CdAgMo3 crystal. The functional is PBEsol.

a = 4.7819 Å, b = 4.7819 Å, c = 4.7819 Å
α = 90.00°, β = 90.00°, γ = 90.00°
Sites, in units of the cell vectors:
Mo  0.0000  0.0000  0.5000
Mo  0.5000  0.0000  0.0000
Mo  0.0000  0.5000  0.0000
Cd  0.0000  0.0000  0.0000
Ag  0.5000  0.5000  0.5000

Summary:
- ΔE_f (eV per formula unit) = 13.58

7.
This record from Alexandria describes a relaxed Li2CaAl crystal. The functional is PBEsol.

a = 3.8008 Å, b = 4.9249 Å, c = 4.9805 Å
α = 90.00°, β = 90.00°, γ = 90.00°
Sites, in units of the cell vectors:
Li  0.5000  0.0000  0.5000
Li  0.0000  0.0000  0.0000
Ca  0.0000  0.5000  0.5000
Al  0.5000  0.5000  0.0000

Summary:
- ΔE_f (eV per formula unit) = 0.09

8.
This record from Alexandria describes a relaxed MgSc3 crystal. The functional is PBEsol.

a = 4.5316 Å, b = 4.5316 Å, c = 4.5316 Å
α = 90.00°, β = 90.00°, γ = 90.00°
Sites, in units of the cell vectors:
Sc  0.0000  0.5000  0.5000
Sc  0.5000  0.5000  0.0000
Mg  0.0000  0.0000  0.0000
Sc  0.5000  0.0000  0.5000

Summary:
- ΔE_f (eV per formula unit) = 0.17
- ΔE to the lowest computed polymorph (eV per atom) = 0.050

Calculated DFT total energy (eV/atom), listed in the same order as above: -5.95 -5.92 -3.39 -4.95 -5.73 -5.25 -2.52 -5.34